(1)
Mo2PSe after structural relaxation. Source: Alexandria, functional PBE.

Cell: 4.496 4.496 5.057 Å, 104.53 104.53 41.56°
Element x y z (fractional)
Mo1 0.000 0.000 0.000
Mo2 0.219 0.219 0.605
P1 0.506 0.506 0.645
Se1 0.745 0.745 0.213

Computed properties:
- Symmetry: Cm, No. 8
- Formation energy from raw total energies: -0.87 eV/f.u.
- Energy relative to the lowest polymorph listed for this composition: 65 meV/atom

(2)
Ce2CoSi3Pt12 after structural relaxation. Source: Alexandria, functional PBE.

Cell: 7.655 7.655 7.655 Å, 64.32 64.32 64.32°
Element x y z (fractional)
Ce1 0.121 0.121 0.121
Ce2 0.879 0.879 0.879
Co1 0.500 0.500 0.500
Si1 0.000 0.500 0.500
Si2 0.500 0.000 0.500
Si3 0.500 0.500 0.000
Pt1 0.127 0.630 0.630
Pt2 0.139 0.139 0.610
Pt3 0.139 0.610 0.139
Pt4 0.370 0.370 0.873
Pt5 0.370 0.873 0.370
Pt6 0.390 0.861 0.861
Pt7 0.610 0.139 0.139
Pt8 0.630 0.127 0.630
Pt9 0.630 0.630 0.127
Pt10 0.861 0.390 0.861
Pt11 0.861 0.861 0.390
Pt12 0.873 0.370 0.370

Computed properties:
- Symmetry: R-3m, No. 166
- Formation energy from raw total energies: -8.36 eV/f.u.

(3)
Mn3CuI8 after structural relaxation. Source: Alexandria, functional PBE.

Cell: 8.154 8.154 8.904 Å, 118.20 118.20 61.02°
Element x y z (fractional)
Mn1 0.000 0.000 0.000
Mn2 0.000 0.500 0.000
Mn3 0.500 0.000 0.000
Cu1 0.500 0.500 0.000
I1 0.237 0.745 0.220
I2 0.246 0.246 0.228
I3 0.255 0.763 0.780
I4 0.268 0.268 0.789
I5 0.732 0.732 0.211
I6 0.745 0.237 0.220
I7 0.754 0.754 0.772
I8 0.763 0.255 0.780

Computed properties:
- Symmetry: C2/m, No. 12
- Formation energy from raw total energies: -3.96 eV/f.u.